This record from Alexandria via LeMat-Bulk describes Be2AlCl at its PBEsol-relaxed geometry. The functional is meta-GGA SCAN. Values from VASP.

```
&SYSTEM
  ibrav = 0, nat = 4, ntyp = 3
/
ATOMIC_SPECIES
Be 9.01 Be.upf
Cl 35.45 Cl.upf
Al 26.98 Al.upf
ATOMIC_POSITIONS crystal
Be 0.854 0.854 0.438
Be 0.146 0.146 0.562
Cl 0.000 0.000 0.000
Al 0.500 0.500 0.500
CELL_PARAMETERS angstrom
4.040 0.000 0.000
2.020 3.499 0.000
2.020 1.166 4.896
```

Output
formation energy without anion corrections = -74 meV per atom
calculated volume = 17.3 A^3/atom
N(E_F) = 0.36 states/eV per cell

***

This record from Alexandria via LeMat-Bulk describes Na3IrW at its PBEsol-relaxed geometry. The functional is meta-GGA SCAN. Values from VASP.

```
&SYSTEM
  ibrav = 0, nat = 5, ntyp = 3
/
ATOMIC_SPECIES
Ir 192.22 Ir.upf
W 183.84 W.upf
Na 22.99 Na.upf
ATOMIC_POSITIONS crystal
Ir 0.000 0.000 0.000
W 0.500 0.500 0.500
Na 0.000 0.000 0.500
Na 0.000 0.500 0.000
Na 0.500 0.000 0.000
CELL_PARAMETERS angstrom
-3.961 -3.191 -1.436
2.979 -4.213 1.144
-1.835 0.048 4.956
```

Output
E_tot = -28.64 eV per atom
calculated volume = 29.5 A^3/atom
N(E_F) = 5.85 states/eV per cell

***

This record from Alexandria via LeMat-Bulk describes Ta2AlC at its PBEsol-relaxed geometry. The functional is meta-GGA SCAN. Values from VASP.

```
&SYSTEM
  ibrav = 0, nat = 8, ntyp = 3
/
ATOMIC_SPECIES
C 12.01 C.upf
Ta 180.95 Ta.upf
Al 26.98 Al.upf
ATOMIC_POSITIONS crystal
C 0.000 0.000 0.500
C 0.000 0.000 0.000
Ta 0.333 0.667 0.421
Ta 0.333 0.667 0.079
Ta 0.667 0.333 0.921
Ta 0.667 0.333 0.579
Al 0.333 0.667 0.250
Al 0.667 0.333 0.750
CELL_PARAMETERS angstrom
-2.680 -1.436 -0.285
2.300 -1.342 1.496
-4.906 6.504 13.375
```

Output
E_tot = -37.77 eV per atom
calculated volume = 15.8 A^3/atom
N(E_F) = 4.63 states/eV per cell

***

This record from Alexandria via LeMat-Bulk describes Sc2TiCoSe at its PBEsol-relaxed geometry. The functional is meta-GGA SCAN. Values from VASP.

```
&SYSTEM
  ibrav = 0, nat = 5, ntyp = 4
/
ATOMIC_SPECIES
Sc 44.96 Sc.upf
Ti 47.87 Ti.upf
Se 78.96 Se.upf
Co 58.93 Co.upf
ATOMIC_POSITIONS crystal
Sc 0.000 0.500 0.000
Sc 0.000 0.000 0.500
Ti 0.500 0.000 0.000
Se 0.500 0.500 0.500
Co 0.000 0.000 0.000
CELL_PARAMETERS angstrom
4.227 0.000 0.000
0.000 4.852 0.000
0.000 0.000 4.852
```

Output
formation energy without anion corrections = -270 meV per atom
calculated volume = 19.9 A^3/atom
N(E_F) = 3.81 states/eV per cell

***

This record from Alexandria via LeMat-Bulk describes CaCd2Hg at its PBEsol-relaxed geometry. The functional is meta-GGA SCAN. Values from VASP.

```
&SYSTEM
  ibrav = 0, nat = 4, ntyp = 3
/
ATOMIC_SPECIES
Cd 112.41 Cd.upf
Hg 200.59 Hg.upf
Ca 40.08 Ca.upf
ATOMIC_POSITIONS crystal
Cd 0.500 0.500 0.247
Cd 0.000 0.000 0.024
Hg 0.000 0.000 0.487
Ca 0.500 0.500 0.742
CELL_PARAMETERS angstrom
-0.457 -1.981 3.004
2.465 -2.385 -1.198
5.125 3.686 3.211
```

Output
E_tot = -35.00 eV per atom
calculated volume = 23.3 A^3/atom
N(E_F) = 1.37 states/eV per cell

***

This record from Alexandria via LeMat-Bulk describes Tl2BiAu2 at its PBEsol-relaxed geometry. The functional is meta-GGA SCAN. Values from VASP.

```
&SYSTEM
  ibrav = 0, nat = 10, ntyp = 3
/
ATOMIC_SPECIES
Au 196.97 Au.upf
Tl 204.38 Tl.upf
Bi 208.98 Bi.upf
ATOMIC_POSITIONS crystal
Au 0.000 0.372 0.872
Au 0.000 0.128 0.372
Au 0.000 0.872 0.628
Au 0.000 0.628 0.128
Tl 0.500 0.669 0.831
Tl 0.500 0.169 0.669
Tl 0.500 0.831 0.331
Tl 0.500 0.331 0.169
Bi 0.000 0.000 0.000
Bi 0.000 0.500 0.500
CELL_PARAMETERS angstrom
-0.887 2.636 2.685
-7.509 -2.268 -0.253
1.403 -5.274 5.641
```

Output
E_tot = -72.30 eV per atom
calculated volume = 23.8 A^3/atom
N(E_F) = 3.38 states/eV per cell

***

This record from Alexandria via LeMat-Bulk describes TeHF2 at its PBEsol-relaxed geometry. The functional is meta-GGA SCAN. Values from VASP.

```
&SYSTEM
  ibrav = 0, nat = 4, ntyp = 3
/
ATOMIC_SPECIES
H 1.01 H.upf
Te 127.60 Te.upf
F 19.00 F.upf
ATOMIC_POSITIONS crystal
H 0.000 0.000 0.000
Te 0.500 0.500 0.500
F 0.750 0.750 0.750
F 0.250 0.250 0.250
CELL_PARAMETERS angstrom
-1.849 -1.404 -3.296
2.144 -1.803 -2.900
-0.339 -3.975 -0.582
```

Output
E_tot = -12.15 eV per atom
calculated volume = 11.6 A^3/atom
N(E_F) = 2.16 states/eV per cell

***

This record from Alexandria via LeMat-Bulk describes ScSiTe at its PBEsol-relaxed geometry. The functional is meta-GGA SCAN. Values from VASP.

```
&SYSTEM
  ibrav = 0, nat = 3, ntyp = 3
/
ATOMIC_SPECIES
Te 127.60 Te.upf
Sc 44.96 Sc.upf
Si 28.09 Si.upf
ATOMIC_POSITIONS crystal
Te 0.000 0.000 0.000
Sc 0.500 0.500 0.500
Si 0.250 0.250 0.250
CELL_PARAMETERS angstrom
-4.621 0.208 -0.521
-2.502 -3.921 -0.175
-2.796 -1.137 3.544
```

Output
formation energy without anion corrections = 14 meV per atom
calculated volume = 23.8 A^3/atom
N(E_F) = 3.13 states/eV per cell

***

Question: Number 7 is which compound?
Answer: TeHF2